MnCrIr3: relaxed, PBE.

Values from the calculation:
Its energy of formation from the pure elements is 1.62 eV/atom. As for the symmetry: Pm-3m.

Lattice parameters (Å, degrees): 4.4228 4.4228 4.4228 90.00 90.00 90.00
Last column: nearest neighbours and their distance in Å.
Sites, in units of the cell vectors:
Ir  0.5000  0.0000  0.0000  2 Mn 2.21
Mn  0.0000  0.0000  0.0000  6 Ir 2.21
Ir  0.0000  0.5000  0.0000  2 Mn 2.21
Ir  0.0000  0.0000  0.5000  2 Mn 2.21
Cr  0.5000  0.5000  0.5000  12 Ir 3.13

---

Ac3Si2Pd9Pt: relaxed, PBE.

Values from the calculation:
The calculation puts the formation energy without anion corrections at -10.32 eV per formula unit. As for the symmetry: P-3m1.

Lattice parameters (Å, degrees): 5.8981 5.8981 10.7755 90.00 90.00 120.00
Last column: nearest neighbours and their distance in Å.
Sites, in units of the cell vectors:
Pt  0.0000  0.0000  0.5000  6 Pd 2.72
Pd  0.8398  0.6796  0.7015  1 Si 2.33
Pd  0.5000  0.5000  0.0000  2 Si 2.41
Pd  0.8398  0.1602  0.7015  1 Si 2.33
Ac  0.6667  0.3333  0.4004  6 Pd 3.15
Si  0.3333  0.6667  0.1583  6 Pd 2.33-2.41
Pd  0.1602  0.3204  0.2985  1 Si 2.33
Pd  0.6796  0.8398  0.2985  1 Si 2.33
Ac  0.3333  0.6667  0.5996  6 Pd 3.15
Pd  0.1602  0.8398  0.2985  1 Si 2.33
Ac  0.0000  0.0000  0.0000  6 Pd 2.95
Pd  0.3204  0.1602  0.7015  1 Si 2.33
Pd  0.5000  0.0000  0.0000  2 Si 2.41
Si  0.6667  0.3333  0.8417  6 Pd 2.33-2.41
Pd  0.0000  0.5000  0.0000  2 Si 2.41

---

La12MgGe5: relaxed, PBE.

Values from the calculation:
Its energy of formation from the pure elements is -0.49 eV/atom. As for the symmetry: Immm.

Lattice parameters (Å, degrees): 9.0434 9.0435 9.0435 106.85 111.58 110.02
Last column: nearest neighbours and their distance in Å.
Sites, in units of the cell vectors:
La  0.0925  0.8250  0.2675  4 Ge 3.24-3.39
La  0.8004  0.0380  0.2376  2 Ge 3.11-3.29
La  0.1996  0.4372  0.2376  2 Ge 3.11-3.29
La  0.8004  0.5628  0.7624  2 Ge 3.11-3.29
Ge  0.6306  0.6306  0.0000  1 Ge 2.71
La  0.2939  0.6766  0.9704  3 Ge 3.05-3.14
La  0.9075  0.1750  0.7325  4 Ge 3.24-3.39
La  0.7061  0.3234  0.0296  3 Ge 3.05-3.14
Ge  0.5000  0.1181  0.6181  1 Ge 2.55
Ge  0.3694  0.3694  0.0000  1 Ge 2.71
La  0.4425  0.1750  0.2675  4 Ge 3.24-3.39
La  0.5575  0.8250  0.7325  4 Ge 3.24-3.39
Ge  0.0000  0.0000  0.0000  8 La 3.27-3.29
La  0.1996  0.9620  0.7624  2 Ge 3.11-3.29
La  0.7061  0.6766  0.3827  3 Ge 3.05-3.14
Ge  0.5000  0.8819  0.3819  1 Ge 2.55
La  0.2939  0.3234  0.6173  3 Ge 3.05-3.14
Mg  0.0000  0.5000  0.5000  8 La 3.50-3.54

---

Na4CdHg2: relaxed, PBE.

Values from the calculation:
Its energy of formation from the pure elements is 0.02 eV/atom. As for the symmetry: I4/mmm.

Lattice parameters (Å, degrees): 5.7653 5.7653 8.6979 70.64 70.64 90.00
Last column: nearest neighbours and their distance in Å.
Sites, in units of the cell vectors:
Na  0.2002  0.2002  0.5995  1 Hg 3.03, 1 Cd 3.08
Na  0.7998  0.7998  0.4005  1 Hg 3.03, 1 Cd 3.08
Cd  0.0000  0.0000  0.0000  6 Na 2.88-3.08
Hg  0.3977  0.3977  0.2046  5 Na 3.03-3.28, 1 Hg 3.14
Hg  0.6023  0.6023  0.7954  5 Na 3.03-3.28, 1 Hg 3.14
Na  0.5000  0.0000  0.0000  2 Cd 2.88
Na  0.0000  0.5000  0.0000  2 Cd 2.88